The following is a DFT calculation (PBE) of a relaxed MgTlGeN2 crystal.

```
data_MgTlGeN2
_chemical_formula_sum 'Mg1 Tl1 Ge1 N2'
_space_group_name_H-M_alt 'P 4/m m m'
_space_group_IT_number 123
_space_group_name_Hall '-P 4 2'
_cell_length_a 4.094
_cell_length_b 4.094
_cell_length_c 5.568
_cell_angle_alpha 90.00
_cell_angle_beta 90.00
_cell_angle_gamma 90.00
loop_
_atom_site_label
_atom_site_type_symbol
_atom_site_fract_x
_atom_site_fract_y
_atom_site_fract_z
Mg1 Mg 0.000 0.000 0.000
Tl1 Tl 0.000 0.000 0.500
Ge1 Ge 0.500 0.500 0.500
N1 N 0.000 0.500 0.000
```

## Properties
- formation energy from raw total energies (eV per formula unit) = 6.86
- DOS at the Fermi energy (states/eV per cell) = 2.6